Record 1
A geometry-optimized HfHF structure. Source: the Alexandria database, functional GGA-PBE.

Structure (POSCAR):
```
HfHF
1.0
-1.680 2.530 -0.704
-1.459 -2.581 -5.795
-5.945 -3.141 2.895
Hf F H
4 4 4
direct
0.750 0.617 0.849
0.250 0.383 0.151
0.250 0.883 0.349
0.750 0.117 0.651
0.750 0.433 0.621
0.250 0.567 0.379
0.750 0.933 0.879
0.250 0.067 0.121
0.250 0.673 0.050
0.750 0.327 0.950
0.250 0.173 0.450
0.750 0.827 0.550
```

Calculated total energy (eV/cell): -78.00
Space group: Pnma, No. 62

---

Record 2
A geometry-optimized Ca3Pt5 structure. Source: the Alexandria database, functional GGA-PBE.

Structure (POSCAR):
```
Ca3Pt5
1.0
8.847 -0.120 -0.595
-6.870 5.575 -0.595
-1.523 -4.203 8.120
Ca Pt
6 10
direct
0.690 0.561 0.480
0.971 0.842 0.016
0.678 0.178 0.812
0.342 0.471 0.016
0.586 0.086 0.189
0.061 0.190 0.480
0.736 0.236 0.544
0.494 0.732 0.436
0.131 0.631 0.225
0.690 0.829 0.753
0.933 0.156 0.118
0.159 0.817 0.816
0.232 0.994 0.436
0.329 0.190 0.753
0.317 0.659 0.816
0.656 0.433 0.118
```

E_form (eV/atom): -0.6955
Space group: Cm, No. 8
ΔE to the lowest computed polymorph (meV/atom): 0

---

Record 3
A geometry-optimized Sb2P2Au structure. Source: the Alexandria database, functional GGA-PBE.

Structure (POSCAR):
```
Sb2P2Au
1.0
7.659 0.000 0.000
0.000 7.659 0.000
0.000 0.000 3.758
P Au Sb
4 2 4
direct
0.322 0.822 0.000
0.678 0.178 0.000
0.178 0.322 0.000
0.822 0.678 0.000
0.000 0.000 0.000
0.500 0.500 0.000
0.341 0.159 0.500
0.159 0.659 0.500
0.841 0.341 0.500
0.659 0.841 0.500
```

Formation energy from raw total energies (kcal/mol of atoms): 8.05
Space group: P4/mbm, No. 127
ΔE to the lowest computed polymorph (meV/atom): 0

---

Record 4
A geometry-optimized TaBe2FeP structure. Source: the Alexandria database, functional GGA-PBE.

Structure (POSCAR):
```
TaBe2FeP
1.0
-1.564 3.656 -0.698
-2.265 -1.522 -2.897
-2.928 -0.741 2.678
Be Fe P Ta
2 1 1 1
direct
0.500 0.000 0.000
0.000 0.000 0.500
0.000 0.500 0.000
0.000 0.000 0.000
0.500 0.500 0.500
```

E_form (eV/atom): 0.6136
Space group: P4/mmm, No. 123

---

Record 5
A geometry-optimized V2SI structure. Source: the Alexandria database, functional GGA-PBE.

Structure (POSCAR):
```
V2SI
1.0
0.000 3.194 3.194
3.194 0.000 3.194
3.194 3.194 0.000
V S I
2 1 1
direct
0.250 0.250 0.250
0.750 0.750 0.750
0.000 0.000 0.000
0.500 0.500 0.500
```

Formation energy from raw total energies (kcal/mol of atoms): 5.75
Space group: Fm-3m, No. 225
ΔE to the lowest computed polymorph (meV/atom): 497

---

Record 6
A geometry-optimized B5C7 structure. Source: the Alexandria database, functional GGA-PBE.

Structure (POSCAR):
```
B5C7
1.0
-3.116 0.858 -3.313
1.020 -4.361 1.167
-2.400 1.339 3.775
C B
7 5
direct
0.545 0.206 0.646
0.873 0.878 0.646
0.232 0.566 0.633
0.021 0.704 0.123
0.370 0.355 0.123
0.015 0.988 0.992
0.655 0.348 0.992
0.504 0.511 0.489
0.690 0.023 0.035
0.298 0.631 0.002
0.870 0.203 0.580
0.177 0.837 0.489
```

E_form (eV/atom): 0.3938
Space group: Cm, No. 8
ΔE to the lowest computed polymorph (meV/atom): 136

---

Number 1: total moment 0.00 μB per cell. Number 2: total moment 0.00 μB per cell. Number 3: total moment 0.00 μB per cell. Number 4: total moment 0.00 μB per cell. Number 5: total moment 2.98 μB per cell. Number 6: total moment 0.00 μB per cell.